# PrEr12Ni6

A geometry-optimized PrEr12Ni6 structure (PBE, Alexandria).

a = 8.4601 Å, b = 8.4601 Å, c = 8.4601 Å
α = 109.47°, β = 109.47°, γ = 109.47°
Last column: nearest neighbours and their distance in Å.
Positions (direct):
Ni  0.8761  0.3761  0.5000  1 Ni 2.42, 2 Er 2.63
Ni  0.3761  0.5000  0.8761  1 Ni 2.42, 2 Er 2.63
Ni  0.5000  0.8761  0.3761  1 Ni 2.42, 2 Er 2.63
Ni  0.5000  0.1239  0.6239  1 Ni 2.42, 2 Er 2.63
Ni  0.1239  0.6239  0.5000  1 Ni 2.42, 2 Er 2.63
Ni  0.6239  0.5000  0.1239  1 Ni 2.42, 2 Er 2.63
Er  0.5044  0.8157  0.6888  3 Ni 2.63-2.85
Er  0.8731  0.1843  0.6888  3 Ni 2.63-2.85
Er  0.3112  0.4956  0.1843  3 Ni 2.63-2.85
Er  0.8157  0.3112  0.1269  3 Ni 2.63-2.85
Er  0.6888  0.8731  0.1843  3 Ni 2.63-2.85
Er  0.4956  0.1843  0.3112  3 Ni 2.63-2.85
Er  0.1269  0.8157  0.3112  3 Ni 2.63-2.85
Er  0.8157  0.6888  0.5044  3 Ni 2.63-2.85
Er  0.6888  0.5044  0.8157  3 Ni 2.63-2.85
Er  0.1843  0.3112  0.4956  3 Ni 2.63-2.85
Er  0.1843  0.6888  0.8731  3 Ni 2.63-2.85
Er  0.3112  0.1269  0.8157  3 Ni 2.63-2.85
Pr  0.0000  0.0000  0.0000  12 Er 3.53

---

# MnSnTe3

A geometry-optimized MnSnTe3 structure (PBE, Alexandria).

a = 7.1110 Å, b = 7.1110 Å, c = 7.2633 Å
α = 90.00°, β = 90.00°, γ = 120.00°
Last column: nearest neighbours and their distance in Å.
Positions (direct):
Te  0.5990  0.0000  0.7366  2 Mn 2.77, 1 Sn 2.87
Te  0.0000  0.4010  0.2634  2 Mn 2.77, 1 Sn 2.87
Te  0.0000  0.5990  0.7366  2 Mn 2.77, 1 Sn 2.87
Te  0.4010  0.4010  0.7366  2 Mn 2.77, 1 Sn 2.87
Te  0.4010  0.0000  0.2634  2 Mn 2.77, 1 Sn 2.87
Te  0.5990  0.5990  0.2634  2 Mn 2.77, 1 Sn 2.87
Sn  0.0000  0.0000  0.6973  3 Te 2.87, 1 Sn 2.87
Sn  0.0000  0.0000  0.3027  3 Te 2.87, 1 Sn 2.87
Mn  0.3333  0.6667  0.5000  6 Te 2.77
Mn  0.6667  0.3333  0.5000  6 Te 2.77

Calculated values
energy relative to the elements, uncorrected	-0.10	eV/atom
ΔE to the lowest computed polymorph	0.000	eV/atom

---

# KH3N

A geometry-optimized KH3N structure (PBE, Alexandria).

a = 6.4898 Å, b = 6.4898 Å, c = 6.4898 Å
α = 77.83°, β = 77.83°, γ = 77.83°
Last column: nearest neighbours and their distance in Å.
Positions (direct):
H  0.1754  0.0210  0.9466  1 N 1.03
H  0.4466  0.5210  0.6754  1 N 1.03
H  0.9466  0.1754  0.0210  1 N 1.03
H  0.6754  0.4466  0.5210  1 N 1.03
H  0.0210  0.9466  0.1754  1 N 1.03
H  0.5210  0.6754  0.4466  1 N 1.03
K  0.8102  0.8102  0.8102  1 N 2.79
K  0.3102  0.3102  0.3102  1 N 2.79
N  0.5182  0.5182  0.5182  3 H 1.03
N  0.0182  0.0182  0.0182  3 H 1.03

Calculated values
ΔE to the lowest computed polymorph	0.000	eV/atom

---

Let's list calculated total energy in order: -5.216, -4.624, -4.158 eV per atom.